# 1
Computed, not measured: a relaxed structure of Sm3Er12Zr at the PBE level of DFT.

Output
* E: -0.17658 hartree per atom
* DFT formation energy: 0.036 eV/atom

The structure in POSCAR format:
```
Sm3Er12Zr
1.0
4.957 0.000 0.000
0.000 4.957 0.000
0.000 0.000 19.846
Sm Er Zr
3 12 1
Direct
0.000 0.000 0.000
0.000 0.000 0.253
0.000 0.000 0.747
0.000 0.500 0.127
0.000 0.500 0.383
0.000 0.500 0.617
0.000 0.500 0.873
0.500 0.000 0.127
0.500 0.000 0.383
0.500 0.000 0.617
0.500 0.000 0.873
0.500 0.500 0.000
0.500 0.500 0.254
0.500 0.500 0.500
0.500 0.500 0.746
0.000 0.000 0.500
```

=====

# 2
Computed, not measured: a relaxed structure of SmErZr at the PBE level of DFT.

Output
* E: -0.21485 hartree per atom
* distance to the lowest polymorph of the same formula: 0.008 eV per atom
* DFT formation energy: 0.097 eV/atom

The structure in POSCAR format:
```
SmErZr
1.0
1.725 0.996 8.378
-1.725 0.996 8.378
0.000 -1.992 8.378
Sm Er Zr
1 1 1
Direct
0.000 0.000 0.000
0.790 0.790 0.790
0.560 0.560 0.560
```

=====

# 3
Computed, not measured: a relaxed structure of Sm2Er12Zr at the PBE level of DFT.

Output
* E: -0.17341 hartree per atom
* DFT formation energy: 0.131 eV/atom

The structure in POSCAR format:
```
Sm2Er12Zr
1.0
3.510 -5.530 0.000
3.510 5.530 0.000
-1.728 0.000 23.771
Sm Er Zr
4 24 2
Direct
0.066 0.066 0.273
0.428 0.428 0.723
0.572 0.572 0.277
0.934 0.934 0.727
0.030 0.030 0.124
0.047 0.547 0.189
0.084 0.581 0.328
0.139 0.139 0.577
0.143 0.634 0.556
0.239 0.729 0.937
0.271 0.761 0.063
0.353 0.353 0.428
0.366 0.857 0.444
0.419 0.916 0.672
0.453 0.953 0.811
0.468 0.468 0.871
0.532 0.532 0.129
0.547 0.047 0.189
0.581 0.084 0.328
0.634 0.143 0.556
0.647 0.647 0.572
0.729 0.239 0.937
0.761 0.271 0.063
0.857 0.366 0.444
0.861 0.861 0.423
0.916 0.419 0.672
0.953 0.453 0.811
0.970 0.970 0.876
0.276 0.276 0.000
0.724 0.724 0.000
```

=====

# 4
Computed, not measured: a relaxed structure of SmEr2Zr at the PBE level of DFT.

Output
* E: -0.19784 hartree per atom
* distance to the lowest polymorph of the same formula: 0.142 eV per atom
* DFT formation energy: 0.215 eV/atom

The structure in POSCAR format:
```
SmEr2Zr
1.0
0.000 3.878 3.878
3.878 0.000 3.878
3.878 3.878 0.000
Sm Er Zr
1 2 1
Direct
0.000 0.000 0.000
0.250 0.250 0.250
0.750 0.750 0.750
0.500 0.500 0.500
```

=====

# 5
Computed, not measured: a relaxed structure of SmEr2Zr at the PBE level of DFT.

Output
* E: -0.20307 hartree per atom
* distance to the lowest polymorph of the same formula: 0.000 eV per atom
* DFT formation energy: 0.072 eV/atom

The structure in POSCAR format:
```
SmEr2Zr
1.0
1.730 0.999 11.211
-1.730 0.999 11.211
0.000 -1.997 11.211
Sm Er Zr
1 2 1
Direct
0.000 0.000 0.000
0.577 0.577 0.577
0.755 0.755 0.755
0.166 0.166 0.166
```

=====

# 6
Computed, not measured: a relaxed structure of Sm2ErZr at the PBE level of DFT.

Output
* E: -0.20298 hartree per atom
* distance to the lowest polymorph of the same formula: 0.006 eV per atom
* DFT formation energy: 0.114 eV/atom

The structure in POSCAR format:
```
Sm2ErZr
1.0
4.918 0.000 0.000
0.000 4.918 0.000
0.000 0.000 4.881
Sm Er Zr
2 1 1
Direct
0.000 0.500 0.000
0.500 0.000 0.000
0.000 0.000 0.500
0.500 0.500 0.500
```